## ZnCr3O (GGA+U)

Data for a relaxed ZnCr3O crystal.

a = 4.243 Å, b = 4.243 Å, c = 4.243 Å
α = 90.00°, β = 90.00°, γ = 90.00°
Sites, in units of the cell vectors:
Zn 0.000 0.000 0.000
Cr 0.000 0.500 0.500
Cr 0.500 0.000 0.500
Cr 0.500 0.500 0.000
O 0.500 0.500 0.500

DFT total energy (eV/atom): -5.918
V (Å³/cell): 76.4